Material: DyHo2ZrSc4
Method: DFT, PBE
State: optimized geometry

The structure in POSCAR format:
```
DyHo2ZrSc4
1.0
4.7607 0.0000 0.0000
0.0000 4.7766 0.0000
0.0000 0.0000 9.2973
Dy Ho Zr Sc
1 2 1 4
Cartesian
0.0000 0.0000 0.0000 Dy
0.0000 0.0000 4.6486 Ho
2.3804 2.3883 0.0000 Ho
2.3804 2.3883 4.6486 Zr
0.0000 2.3883 2.4273 Sc
0.0000 2.3883 6.8699 Sc
2.3804 0.0000 2.4262 Sc
2.3804 0.0000 6.8711 Sc
```

Computed properties:
Total DFT energy (no corrections) ... -0.434 Ry/atom
E_form ... 0.0529 eV per atom

---

Material: DyHoZrSc
Method: DFT, PBE
State: optimized geometry

The structure in POSCAR format:
```
DyHoZrSc
1.0
0.0000 3.7883 3.7883
3.7883 0.0000 3.7883
3.7883 3.7883 0.0000
Dy Ho Zr Sc
1 1 1 1
Cartesian
0.0000 0.0000 0.0000 Dy
5.6824 5.6824 5.6824 Ho
3.7883 3.7883 3.7883 Zr
1.8941 1.8941 1.8941 Sc
```

Computed properties:
Total DFT energy (no corrections) ... -0.428 Ry/atom
E_form ... 0.1936 eV per atom

---

Material: Dy2HoSe
Method: DFT, PBE
State: optimized geometry

The structure in POSCAR format:
```
Dy2HoSe
1.0
3.6028 0.0000 0.0000
0.0000 3.6028 0.0000
0.0000 0.0000 8.4326
Dy Ho Se
2 1 1
Cartesian
0.0000 0.0000 1.7684 Dy
0.0000 0.0000 6.6642 Dy
1.8014 1.8014 4.2163 Ho
1.8014 1.8014 0.0000 Se
```

Computed properties:
Total DFT energy (no corrections) ... -0.368 Ry/atom
Offset from the most stable computed form ... 122 meV per atom
Energy relative to the elements, uncorrected ... -0.6836 eV per atom

---

Material: DyHo6Se8
Method: DFT, PBE
State: optimized geometry

The structure in POSCAR format:
```
DyHo6Se8
1.0
0.0000 5.7168 5.7168
5.7168 0.0000 5.7168
5.7168 5.7168 0.0000
Dy Ho Se
1 6 8
Cartesian
0.0000 0.0000 0.0000 Dy
2.8584 2.8584 0.0000 Ho
2.8584 0.0000 2.8584 Ho
5.7168 2.8584 2.8584 Ho
0.0000 2.8584 2.8584 Ho
2.8584 5.7168 2.8584 Ho
2.8584 2.8584 5.7168 Ho
2.8584 2.8584 2.8584 Se
5.7168 5.7168 2.9086 Se
5.7168 2.9086 5.7168 Se
8.5250 5.7168 5.7168 Se
2.9086 5.7168 5.7168 Se
5.7168 8.5250 5.7168 Se
5.7168 5.7168 8.5250 Se
8.5752 8.5752 8.5752 Se
```

Computed properties:
Total DFT energy (no corrections) ... -0.427 Ry/atom
Energy relative to the elements, uncorrected ... -1.8150 eV per atom

---

Material: DyHo4Se5
Method: DFT, PBE
State: optimized geometry

The structure in POSCAR format:
```
DyHo4Se5
1.0
-4.5323 4.5323 2.8770
4.5323 -4.5323 2.8770
4.5323 4.5323 -2.8770
Dy Ho Se
1 4 5
Cartesian
0.0000 0.0000 0.0000 Dy
5.4455 1.8218 0.0000 Ho
1.8218 3.6192 0.0000 Ho
2.7105 0.9132 2.8770 Ho
-0.9132 2.7105 2.8770 Ho
2.7323 0.9047 0.0000 Se
3.6277 -1.8000 2.8770 Se
0.0000 0.0000 2.8770 Se
0.9047 6.3324 0.0000 Se
1.8000 3.6277 2.8770 Se
```

Computed properties:
Total DFT energy (no corrections) ... -0.423 Ry/atom
Energy relative to the elements, uncorrected ... -1.7253 eV per atom

---

Material: DyHo3Se4
Method: DFT, PBE
State: optimized geometry

The structure in POSCAR format:
```
DyHo3Se4
1.0
5.7428 0.0000 0.0000
0.0000 5.7428 0.0000
0.0000 0.0000 5.7428
Dy Ho Se
1 3 4
Cartesian
0.0000 0.0000 0.0000 Dy
0.0000 2.8714 2.8714 Ho
2.8714 0.0000 2.8714 Ho
2.8714 2.8714 0.0000 Ho
0.0000 0.0000 2.8714 Se
0.0000 2.8714 0.0000 Se
2.8714 0.0000 0.0000 Se
2.8714 2.8714 2.8714 Se
```

Computed properties:
Total DFT energy (no corrections) ... -0.423 Ry/atom
Offset from the most stable computed form ... 13 meV per atom
Energy relative to the elements, uncorrected ... -1.7169 eV per atom

---

Material: Dy2HoSe
Method: DFT, PBE
State: optimized geometry

The structure in POSCAR format:
```
Dy2HoSe
1.0
1.8510 1.0687 10.3221
-1.8510 1.0687 10.3221
0.0000 -2.1373 10.3221
Dy Ho Se
2 1 1
Cartesian
0.0000 0.0000 3.3514 Dy
0.0000 0.0000 27.6151 Dy
0.0000 0.0000 0.0000 Ho
0.0000 0.0000 15.4832 Se
```

Computed properties:
Total DFT energy (no corrections) ... -0.356 Ry/atom
Offset from the most stable computed form ... 276 meV per atom
Energy relative to the elements, uncorrected ... -0.5297 eV per atom

---

Material: Dy6HoSe8
Method: DFT, PBE
State: optimized geometry

The structure in POSCAR format:
```
Dy6HoSe8
1.0
0.0000 5.7418 5.7418
5.7418 0.0000 5.7418
5.7418 5.7418 0.0000
Dy Ho Se
6 1 8
Cartesian
2.8709 2.8709 0.0000 Dy
2.8709 0.0000 2.8709 Dy
5.7418 2.8709 2.8709 Dy
0.0000 2.8709 2.8709 Dy
2.8709 5.7418 2.8709 Dy
2.8709 2.8709 5.7418 Dy
0.0000 0.0000 0.0000 Ho
2.8709 2.8709 2.8709 Se
5.7418 5.7418 2.9007 Se
5.7418 2.9007 5.7418 Se
8.5829 5.7418 5.7418 Se
2.9007 5.7418 5.7418 Se
5.7418 8.5829 5.7418 Se
5.7418 5.7418 8.5829 Se
8.6127 8.6127 8.6127 Se
```

Computed properties:
Total DFT energy (no corrections) ... -0.429 Ry/atom
Energy relative to the elements, uncorrected ... -1.8307 eV per atom

---

Material: Dy2Ho4Se9
Method: DFT, PBE
State: optimized geometry

The structure in POSCAR format:
```
Dy2Ho4Se9
1.0
7.1770 0.0000 0.0000
3.5859 6.2195 0.0000
0.0089 -0.0034 19.4353
Dy Ho Se
4 8 18
Cartesian
0.0071 0.0067 2.9523 Dy
10.7647 6.2093 16.4830 Dy
3.5916 6.2083 6.7602 Dy
7.1802 0.0078 12.6751 Dy
3.5887 2.0725 15.9144 Ho
3.5855 2.0741 0.2787 Ho
3.5966 2.0703 6.2021 Ho
3.5962 2.0709 9.9877 Ho
7.1755 4.1452 9.4475 Ho
7.1752 4.1458 13.2332 Ho
7.1862 4.1419 19.1566 Ho
7.1830 4.1436 3.5209 Ho
1.1075 1.9023 4.8607 Se
1.4057 2.0708 17.8193 Se
2.4875 3.9603 8.1026 Se
5.7862 6.2153 14.5784 Se
4.6871 4.3110 4.8534 Se
4.6956 3.9567 17.8155 Se
2.5088 0.1648 8.0955 Se
4.9852 4.1377 11.3402 Se
6.0943 6.0436 1.6192 Se
4.6774 0.1725 17.8161 Se
5.7865 2.0783 8.0951 Se
8.2630 6.0512 11.3397 Se
6.0761 2.2593 1.6198 Se
4.9855 0.0007 4.8569 Se
6.0847 1.9050 14.5819 Se
8.2843 2.2557 11.3326 Se
9.3661 4.1452 1.6159 Se
9.6643 4.3137 14.5745 Se
```

Computed properties:
Total DFT energy (no corrections) ... -0.425 Ry/atom
Energy relative to the elements, uncorrected ... -1.8575 eV per atom

---

Material: Dy2Ho2Se3
Method: DFT, PBE
State: optimized geometry

The structure in POSCAR format:
```
Dy2Ho2Se3
1.0
6.6690 -1.9796 0.0000
6.6690 1.9796 0.0000
-1.2747 0.0000 6.7976
Dy Ho Se
2 2 3
Cartesian
1.1956 0.0000 2.4565 Dy
10.8676 0.0000 4.3411 Dy
4.9547 0.0000 0.7784 Ho
7.1085 0.0000 6.0191 Ho
2.2688 0.0000 5.0886 Se
6.0316 0.0000 3.3988 Se
9.7944 0.0000 1.7089 Se
```

Computed properties:
Total DFT energy (no corrections) ... -0.410 Ry/atom
Energy relative to the elements, uncorrected ... -1.4632 eV per atom

---

Material: DyHo2Se3
Method: DFT, PBE
State: optimized geometry

The structure in POSCAR format:
```
DyHo2Se3
1.0
-2.0415 2.8628 6.0771
2.0415 -2.8628 6.0771
2.0415 2.8628 -6.0771
Dy Ho Se
1 2 3
Cartesian
0.0000 0.0000 0.0000 Dy
0.0000 0.0000 4.0649 Ho
0.0000 0.0000 8.0893 Ho
2.0415 0.0000 2.0412 Se
0.0000 2.8628 0.0000 Se
0.0000 2.8628 4.0359 Se
```

Computed properties:
Total DFT energy (no corrections) ... -0.424 Ry/atom
Energy relative to the elements, uncorrected ... -1.7282 eV per atom

---

Material: DyHo3Se4
Method: DFT, PBE
State: optimized geometry

The structure in POSCAR format:
```
DyHo3Se4
1.0
7.0641 0.0000 0.0000
0.0000 8.0308 0.0000
-2.3249 0.0000 6.6683
Dy Ho Se
2 6 8
Cartesian
-0.5812 1.0022 1.6671 Dy
-1.7437 7.0286 5.0012 Dy
-1.7437 3.0064 5.0012 Ho
-0.5812 5.0244 1.6671 Ho
1.7883 1.0023 5.0012 Ho
2.9508 3.0081 1.6671 Ho
1.7883 5.0227 5.0012 Ho
2.9508 7.0285 1.6671 Ho
1.7756 1.0080 0.0001 Se
0.6060 3.0182 3.3383 Se
1.7685 5.0126 0.0042 Se
0.6131 7.0228 3.3343 Se
4.1260 1.0080 3.3340 Se
2.9707 3.0182 6.6642 Se
4.1331 5.0126 3.3300 Se
2.9636 7.0228 6.6682 Se
```

Computed properties:
Total DFT energy (no corrections) ... -0.424 Ry/atom
Offset from the most stable computed form ... 0 meV per atom
Energy relative to the elements, uncorrected ... -1.7298 eV per atom

---

Material: DyHo2Se
Method: DFT, PBE
State: optimized geometry

The structure in POSCAR format:
```
DyHo2Se
1.0
1.8424 1.0637 10.3349
-1.8424 1.0637 10.3349
0.0000 -2.1274 10.3349
Dy Ho Se
1 2 1
Cartesian
0.0000 0.0000 0.0000 Dy
0.0000 0.0000 3.3593 Ho
0.0000 0.0000 27.6455 Ho
0.0000 0.0000 15.5024 Se
```

Computed properties:
Total DFT energy (no corrections) ... -0.355 Ry/atom
Offset from the most stable computed form ... 276 meV per atom
Energy relative to the elements, uncorrected ... -0.5255 eV per atom

---

Material: DyHo2Se
Method: DFT, PBE
State: optimized geometry

The structure in POSCAR format:
```
DyHo2Se
1.0
1.8843 1.0879 9.3743
-1.8843 1.0879 9.3743
0.0000 -2.1758 9.3743
Dy Ho Se
1 2 1
Cartesian
0.0000 0.0000 0.0000 Dy
0.0000 0.0000 15.9384 Ho
0.0000 0.0000 21.5947 Ho
0.0000 0.0000 4.7009 Se
```

Computed properties:
Total DFT energy (no corrections) ... -0.376 Ry/atom
Offset from the most stable computed form ... 0 meV per atom
Energy relative to the elements, uncorrected ... -0.8016 eV per atom

---

Material: DyHo2Se4
Method: DFT, PBE
State: optimized geometry

The structure in POSCAR format:
```
DyHo2Se4
1.0
1.9768 -6.6936 0.0000
1.9768 6.6936 0.0000
0.0000 0.0000 13.7550
Dy Ho Se
2 4 8
Cartesian
1.9768 4.9881 10.3162 Dy
1.9768 -4.9881 3.4387 Dy
1.9768 1.7406 7.8367 Ho
1.9768 1.7406 12.7958 Ho
1.9768 -1.7406 0.9592 Ho
1.9768 -1.7406 5.9183 Ho
0.0000 0.0000 0.0000 Se
0.0000 0.0000 6.8775 Se
1.9768 2.9873 1.6783 Se
1.9768 2.9873 5.1991 Se
1.9768 0.3926 10.3162 Se
1.9768 -0.3926 3.4387 Se
1.9768 -2.9873 8.5558 Se
1.9768 -2.9873 12.0766 Se
```

Computed properties:
Total DFT energy (no corrections) ... -0.425 Ry/atom
Offset from the most stable computed form ... 0 meV per atom
Energy relative to the elements, uncorrected ... -1.8254 eV per atom

---

Material: Dy2HoSe3
Method: DFT, PBE
State: optimized geometry

The structure in POSCAR format:
```
Dy2HoSe3
1.0
-2.0426 2.8676 6.0929
2.0426 -2.8676 6.0929
2.0426 2.8676 -6.0929
Dy Ho Se
2 1 3
Cartesian
0.0000 0.0000 2.0429 Dy
0.0000 0.0000 10.1429 Dy
0.0000 0.0000 6.0929 Ho
2.0426 0.0000 0.0000 Se
2.0426 0.0000 4.0771 Se
0.0000 2.8676 2.0158 Se
```

Computed properties:
Total DFT energy (no corrections) ... -0.425 Ry/atom
Energy relative to the elements, uncorrected ... -1.7374 eV per atom

---

Material: Dy3Ho4Se8
Method: DFT, PBE
State: optimized geometry

The structure in POSCAR format:
```
Dy3Ho4Se8
1.0
5.7276 -5.7283 0.0000
5.7276 5.7283 0.0000
-5.7245 0.0000 5.7289
Dy Ho Se
3 4 8
Cartesian
0.0000 0.0000 0.0000 Dy
2.8638 2.8642 0.0000 Dy
2.8638 -2.8642 0.0000 Dy
0.0015 2.8642 2.8645 Ho
0.0015 -2.8642 2.8645 Ho
5.7276 0.0000 0.0000 Ho
2.8653 0.0000 2.8645 Ho
-0.0341 0.0000 2.8709 Se
2.8653 2.8986 2.8645 Se
-2.8542 0.0000 5.6950 Se
5.7276 2.8578 0.0000 Se
5.7276 -2.8578 0.0000 Se
8.5848 0.0000 0.0339 Se
2.8653 -2.8986 2.8645 Se
5.7648 0.0000 2.8580 Se
```

Computed properties:
Total DFT energy (no corrections) ... -0.428 Ry/atom
Energy relative to the elements, uncorrected ... -1.8220 eV per atom

---

Material: DyHo4Se7
Method: DFT, PBE
State: optimized geometry

The structure in POSCAR format:
```
DyHo4Se7
1.0
6.6714 -1.9766 0.0000
6.6714 1.9766 0.0000
-3.0125 0.0000 11.7837
Dy Ho Se
1 4 7
Cartesian
0.0000 0.0000 0.0000 Dy
0.2373 0.0000 4.9756 Ho
0.4706 0.0000 9.9430 Ho
3.6711 0.0000 7.1763 Ho
10.1453 0.0000 2.7715 Ho
-0.9492 0.0000 7.5113 Se
1.4230 0.0000 2.4408 Se
4.7294 0.0000 0.8278 Se
4.9310 0.0000 4.3830 Se
5.4057 0.0000 10.8549 Se
8.8877 0.0000 5.5644 Se
9.0681 0.0000 9.1131 Se
```

Computed properties:
Total DFT energy (no corrections) ... -0.426 Ry/atom
Energy relative to the elements, uncorrected ... -1.8511 eV per atom

---

Material: DyHo2Se4
Method: DFT, PBE
State: optimized geometry

The structure in POSCAR format:
```
DyHo2Se4
1.0
7.5413 -2.0415 0.0000
7.5413 2.0415 0.0000
-3.1938 0.0000 6.3495
Dy Ho Se
1 2 4
Cartesian
0.0000 0.0000 0.0000 Dy
3.1188 0.0000 1.7471 Ho
8.7700 0.0000 4.6024 Ho
0.4432 0.0000 2.8264 Se
5.4688 0.0000 0.0739 Se
6.4200 0.0000 6.2756 Se
11.4456 0.0000 3.5231 Se
```

Computed properties:
Total DFT energy (no corrections) ... -0.425 Ry/atom
Offset from the most stable computed form ... 2 meV per atom
Energy relative to the elements, uncorrected ... -1.8233 eV per atom

---

Material: DyHo2Se
Method: DFT, PBE
State: optimized geometry

The structure in POSCAR format:
```
DyHo2Se
1.0
3.5953 0.0000 0.0000
0.0000 3.5953 0.0000
0.0000 0.0000 8.4216
Dy Ho Se
1 2 1
Cartesian
0.0000 0.0000 0.0000 Dy
1.7976 1.7976 2.4462 Ho
1.7976 1.7976 5.9754 Ho
0.0000 0.0000 4.2108 Se
```

Computed properties:
Total DFT energy (no corrections) ... -0.367 Ry/atom
Offset from the most stable computed form ... 124 meV per atom
Energy relative to the elements, uncorrected ... -0.6781 eV per atom

---

Material: Dy3HoSe6
Method: DFT, PBE
State: optimized geometry

The structure in POSCAR format:
```
Dy3HoSe6
1.0
5.9773 3.4510 4.7625
-5.9773 3.4510 4.7625
0.0000 -6.9020 4.7625
Dy Ho Se
6 2 12
Cartesian
-4.0374 -1.1830 6.6449 Dy
-0.9942 -4.0880 7.6426 Dy
-3.0432 2.9050 7.6426 Dy
3.0432 -2.9050 6.6449 Dy
0.9942 4.0880 6.6449 Dy
4.0374 1.1830 7.6426 Dy
0.0000 0.0000 0.0000 Ho
0.0000 0.0000 7.1437 Ho
-3.8422 -3.7861 7.7447 Se
-5.1999 1.4344 6.5428 Se
-1.3752 -1.9964 5.6630 Se
1.3577 -5.2205 6.5428 Se
-2.4166 0.1927 8.6244 Se
-1.0414 2.1891 5.6630 Se
1.0414 -2.1892 8.6244 Se
2.4165 -0.1927 5.6630 Se
-1.3577 5.2205 7.7447 Se
1.3752 1.9964 8.6244 Se
5.1999 -1.4344 7.7447 Se
3.8422 3.7861 6.5428 Se
```

Computed properties:
Total DFT energy (no corrections) ... -0.424 Ry/atom
Offset from the most stable computed form ... 12 meV per atom
Energy relative to the elements, uncorrected ... -1.8447 eV per atom

---

Material: Dy4Ho3Se8
Method: DFT, PBE
State: optimized geometry

The structure in POSCAR format:
```
Dy4Ho3Se8
1.0
5.7295 -5.7299 0.0000
5.7295 5.7299 0.0000
-5.7279 0.0000 5.7304
Dy Ho Se
4 3 8
Cartesian
0.0000 0.0000 0.0000 Dy
2.8648 2.8650 0.0000 Dy
2.8648 -2.8650 0.0000 Dy
2.8656 0.0000 2.8652 Dy
0.0008 2.8650 2.8652 Ho
0.0008 -2.8650 2.8652 Ho
5.7295 0.0000 0.0000 Ho
2.8656 2.9100 2.8652 Se
-0.0448 0.0000 2.8717 Se
-2.8565 0.0000 5.6856 Se
5.7295 2.8585 0.0000 Se
5.7295 -2.8585 0.0000 Se
8.5877 0.0000 0.0448 Se
5.7760 0.0000 2.8586 Se
2.8656 -2.9100 2.8652 Se
```

Computed properties:
Total DFT energy (no corrections) ... -0.428 Ry/atom
Energy relative to the elements, uncorrected ... -1.8235 eV per atom